A.
Here is a relaxed structure of KNiB from OQMD. Energies are from PBE.

Results
As for the size of the total moment: 0.01 Bohr magnetons per cell.

```
data_KNiB
_cell_length_a 4.269
_cell_length_b 4.269
_cell_length_c 4.269
_cell_angle_alpha 60.00
_cell_angle_beta 60.00
_cell_angle_gamma 60.00
_space_group_name_H-M_alt 'P 1'
_space_group_IT_number 1
_space_group_name_Hall 'P 1'
loop_
_atom_site_label
_atom_site_fract_x
_atom_site_fract_y
_atom_site_fract_z
Ni1 0.000 0.000 0.000
K1 0.750 0.750 0.750
B1 0.250 0.250 0.250
```

B.
Here is a relaxed structure of KNiB from OQMD. Energies are from PBE.

Results
As for the size of the total moment: 0.00 Bohr magnetons per cell.

```
data_KNiB
_cell_length_a 4.302
_cell_length_b 4.302
_cell_length_c 4.302
_cell_angle_alpha 60.00
_cell_angle_beta 60.00
_cell_angle_gamma 60.00
_space_group_name_H-M_alt 'P 1'
_space_group_IT_number 1
_space_group_name_Hall 'P 1'
loop_
_atom_site_label
_atom_site_fract_x
_atom_site_fract_y
_atom_site_fract_z
B1 0.000 0.000 0.000
K1 0.250 0.250 0.250
Ni1 0.750 0.750 0.750
```

C.
Here is a relaxed structure of KNiB from OQMD. Energies are from PBE.

Results
As for the size of the total moment: 0.00 Bohr magnetons per cell.

```
data_KNiB
_cell_length_a 4.669
_cell_length_b 4.669
_cell_length_c 4.669
_cell_angle_alpha 60.00
_cell_angle_beta 60.00
_cell_angle_gamma 60.00
_space_group_name_H-M_alt 'P 1'
_space_group_IT_number 1
_space_group_name_Hall 'P 1'
loop_
_atom_site_label
_atom_site_fract_x
_atom_site_fract_y
_atom_site_fract_z
Ni1 0.750 0.750 0.750
B1 0.250 0.250 0.250
K1 0.000 0.000 0.000
```

Stability summary: most stable B, least stable C.

A.
Here is a relaxed structure of KBOs from OQMD. Energies are from PBE.

Results
As for the size of the total moment: 2.19 Bohr magnetons per cell.

```
data_KBOs
_cell_length_a 4.711
_cell_length_b 4.711
_cell_length_c 4.711
_cell_angle_alpha 60.00
_cell_angle_beta 60.00
_cell_angle_gamma 60.00
_space_group_name_H-M_alt 'P 1'
_space_group_IT_number 1
_space_group_name_Hall 'P 1'
loop_
_atom_site_label
_atom_site_fract_x
_atom_site_fract_y
_atom_site_fract_z
Os1 0.750 0.750 0.750
K1 0.000 0.000 0.000
B1 0.250 0.250 0.250
```

B.
Here is a relaxed structure of KBOs from OQMD. Energies are from PBE.

Results
As for the size of the total moment: 0.00 Bohr magnetons per cell.

```
data_KBOs
_cell_length_a 4.183
_cell_length_b 4.183
_cell_length_c 4.183
_cell_angle_alpha 60.00
_cell_angle_beta 60.00
_cell_angle_gamma 60.00
_space_group_name_H-M_alt 'P 1'
_space_group_IT_number 1
_space_group_name_Hall 'P 1'
loop_
_atom_site_label
_atom_site_fract_x
_atom_site_fract_y
_atom_site_fract_z
Os1 0.750 0.750 0.750
K1 0.250 0.250 0.250
B1 0.000 0.000 0.000
```

C.
Here is a relaxed structure of KBOs from OQMD. Energies are from PBE.

Results
As for the size of the total moment: 0.00 Bohr magnetons per cell.

```
data_KBOs
_cell_length_a 4.147
_cell_length_b 4.147
_cell_length_c 4.147
_cell_angle_alpha 60.00
_cell_angle_beta 60.00
_cell_angle_gamma 60.00
_space_group_name_H-M_alt 'P 1'
_space_group_IT_number 1
_space_group_name_Hall 'P 1'
loop_
_atom_site_label
_atom_site_fract_x
_atom_site_fract_y
_atom_site_fract_z
K1 0.750 0.750 0.750
B1 0.250 0.250 0.250
Os1 0.000 0.000 0.000
```

Stability summary: most stable B, least stable A.